(1)
Entry from Alexandria via LeMat-Bulk: an optimized crystal structure of Na2Al2Zn (PBE).

Properties
- Energy above the most stable polymorph in this dataset: 0.244 eV per atom

Cell: 3.9340 3.9340 7.8991 Å, 75.58 75.58 90.00°
With the nearest neighbours (Å) after each atom.
Fractional coordinates of all 5 atoms:
Na  0.7500  0.2500  0.5000  4 Na 2.78
Zn  0.0000  0.0000  0.0000  8 Al 3.06
Al  0.4143  0.4143  0.1713  1 Al 2.53
Na  0.2500  0.7500  0.5000  4 Na 2.78
Al  0.5857  0.5857  0.8287  1 Al 2.53

(2)
Entry from Alexandria via LeMat-Bulk: an optimized crystal structure of Na2Al7Zn12 (PBE).

Cell: 4.4988 9.9343 9.9344 Å, 120.00 90.00 90.00°
With the nearest neighbours (Å) after each atom.
Fractional coordinates of all 21 atoms:
Al  0.3281  0.3980  0.1188  7 Zn 2.61-2.84
Zn  0.1983  0.4330  0.3911  3 Zn 2.60-2.79, 4 Al 2.61-2.84
Zn  0.1660  0.7374  0.8675  4 Zn 2.62-2.79, 4 Al 2.64-2.71
Na  0.8042  0.6667  0.3333  9 Zn 3.19-3.48, 6 Al 3.25-3.40
Zn  0.1983  0.9581  0.5670  3 Zn 2.60-2.79, 4 Al 2.61-2.84
Zn  0.1983  0.6089  0.0419  3 Zn 2.60-2.79, 4 Al 2.61-2.84
Al  0.6719  0.6020  0.8812  7 Zn 2.61-2.84
Al  0.5000  0.0000  0.0000  6 Zn 2.71
Zn  0.8017  0.3911  0.9581  3 Zn 2.60-2.79, 4 Al 2.61-2.84
Zn  0.1660  0.1325  0.8699  4 Zn 2.62-2.79, 4 Al 2.64-2.71
Al  0.3281  0.8812  0.2791  7 Zn 2.61-2.84
Zn  0.8340  0.8675  0.1301  4 Zn 2.62-2.79, 4 Al 2.64-2.71
Zn  0.8340  0.8699  0.7374  4 Zn 2.62-2.79, 4 Al 2.64-2.71
Al  0.3281  0.7209  0.6020  7 Zn 2.61-2.84
Al  0.6719  0.2791  0.3980  7 Zn 2.61-2.84
Zn  0.8340  0.2626  0.1325  4 Zn 2.62-2.79, 4 Al 2.64-2.71
Zn  0.8017  0.5670  0.6089  3 Zn 2.60-2.79, 4 Al 2.61-2.84
Zn  0.1660  0.1301  0.2626  4 Zn 2.62-2.79, 4 Al 2.64-2.71
Al  0.6719  0.1188  0.7209  7 Zn 2.61-2.84
Na  0.1958  0.3333  0.6667  9 Zn 3.19-3.48, 6 Al 3.25-3.40
Zn  0.8017  0.0419  0.4330  3 Zn 2.60-2.79, 4 Al 2.61-2.84

(3)
Entry from Alexandria via LeMat-Bulk: an optimized crystal structure of NaAl5Zn7 (PBE).

Cell: 5.3808 6.9888 6.9888 Å, 82.66 67.36 67.36°
With the nearest neighbours (Å) after each atom.
Fractional coordinates of all 13 atoms:
Zn  0.5012  0.7882  0.2094  5 Al 2.65-2.80, 1 Zn 2.76
Zn  0.5012  0.2094  0.7882  5 Al 2.65-2.80, 1 Zn 2.76
Al  0.7255  0.7745  0.7745  4 Al 2.72, 6 Zn 2.80-2.91
Zn  0.9981  0.6496  0.3542  4 Zn 2.73-2.99, 5 Al 2.78-2.81
Al  0.4990  0.0056  0.4952  7 Zn 2.65-2.85, 3 Al 2.68-2.72
Na  0.9996  0.0004  0.0004  10 Zn 3.14-3.32, 6 Al 3.37-3.46
Al  0.0001  0.0056  0.4952  7 Zn 2.65-2.85, 3 Al 2.68-2.72
Zn  0.3485  0.6515  0.6515  1 Zn 2.68, 6 Al 2.85-2.91
Al  0.4990  0.4952  0.0056  7 Zn 2.65-2.85, 3 Al 2.68-2.72
Zn  0.9981  0.3542  0.6496  4 Zn 2.73-2.99, 5 Al 2.78-2.81
Zn  0.6456  0.3544  0.3544  5 Zn 2.68-2.97, 4 Al 2.79
Zn  0.2838  0.2162  0.2162  4 Al 2.65, 4 Zn 2.76-2.91
Al  0.0001  0.4952  0.0056  7 Zn 2.65-2.85, 3 Al 2.68-2.72

(4)
Entry from Alexandria via LeMat-Bulk: an optimized crystal structure of Na3AlZn (PBE).

Properties
- Energy above the most stable polymorph in this dataset: 0.000 eV per atom

Cell: 5.5015 5.5015 5.5015 Å, 90.00 90.00 90.00°
With the nearest neighbours (Å) after each atom.
Fractional coordinates of all 5 atoms:
Na  0.0000  0.0000  0.5000  2 Zn 2.75
Al  0.5000  0.5000  0.5000  12 Na 3.89
Na  0.5000  0.0000  0.0000  2 Zn 2.75
Zn  0.0000  0.0000  0.0000  6 Na 2.75
Na  0.0000  0.5000  0.0000  2 Zn 2.75

(5)
Entry from Alexandria via LeMat-Bulk: an optimized crystal structure of NaAl2Zn (PBE).

Cell: 4.6117 4.6117 9.7658 Å, 76.34 76.34 90.00°
With the nearest neighbours (Å) after each atom.
Fractional coordinates of all 8 atoms:
Al  0.7498  0.1250  0.2500  2 Al 2.58, 2 Zn 2.64
Al  0.8750  0.9998  0.7500  2 Al 2.58, 2 Zn 2.64
Na  0.2500  0.7500  0.5000  4 Al 3.10, 4 Zn 3.26
Zn  0.0000  0.0000  0.0000  4 Al 2.64
Al  0.3750  0.2502  0.7500  2 Al 2.58, 2 Zn 2.64
Zn  0.7500  0.2500  0.5000  4 Al 2.64
Na  0.5000  0.5000  0.0000  4 Al 3.10, 4 Zn 3.26
Al  0.0002  0.6250  0.2500  2 Al 2.58, 2 Zn 2.64

(6)
Entry from Alexandria via LeMat-Bulk: an optimized crystal structure of NaAl3Zn (PBE).

Properties
- Energy above the most stable polymorph in this dataset: 0.709 eV per atom

Cell: 5.1829 5.1829 5.1829 Å, 90.00 90.00 90.00°
With the nearest neighbours (Å) after each atom.
Fractional coordinates of all 5 atoms:
Al  0.5000  0.0000  0.0000  2 Na 2.59
Al  0.0000  0.0000  0.5000  2 Na 2.59
Al  0.0000  0.5000  0.0000  2 Na 2.59
Na  0.0000  0.0000  0.0000  6 Al 2.59
Zn  0.5000  0.5000  0.5000  12 Al 3.66

(7)
Entry from Alexandria via LeMat-Bulk: an optimized crystal structure of NaAl2Zn (PBE).

Cell: 2.9598 2.9598 10.4951 Å, 81.89 81.89 60.00°
With the nearest neighbours (Å) after each atom.
Fractional coordinates of all 4 atoms:
Zn  0.5000  0.5000  0.5000  6 Al 2.76, 6 Zn 2.96
Na  0.0000  0.0000  0.0000  6 Na 2.96, 2 Al 3.01
Al  0.9031  0.9031  0.2907  3 Zn 2.76, 6 Al 2.96, 1 Na 3.01
Al  0.0969  0.0969  0.7093  3 Zn 2.76, 6 Al 2.96, 1 Na 3.01

(8)
Entry from Alexandria via LeMat-Bulk: an optimized crystal structure of Na2AlZn16 (PBE).

Cell: 6.8525 6.8525 6.8525 Å, 83.22 83.22 83.22°
With the nearest neighbours (Å) after each atom.
Fractional coordinates of all 19 atoms:
Zn  0.3025  0.0000  0.6971  8 Zn 2.60-2.77
Na  0.6556  0.6556  0.6556  18 Zn 3.19-3.52, 1 Al 3.24
Zn  0.1034  0.1034  0.1034  1 Al 2.66, 6 Zn 2.75-2.85
Zn  0.6971  0.3025  0.0000  8 Zn 2.60-2.77
Na  0.3423  0.3423  0.3423  19 Zn 3.15-3.50
Zn  0.4991  0.0000  0.0000  9 Zn 2.60-2.75, 1 Al 2.78
Zn  0.0000  0.4991  0.0000  9 Zn 2.60-2.75, 1 Al 2.78
Zn  0.6510  0.6510  0.1558  8 Zn 2.62-2.77, 1 Al 2.87
Zn  0.6971  0.0000  0.3025  8 Zn 2.60-2.77
Zn  0.8428  0.3492  0.3492  9 Zn 2.62-2.85
Zn  0.3492  0.8428  0.3492  9 Zn 2.62-2.85
Zn  0.0000  0.0000  0.4991  9 Zn 2.60-2.75, 1 Al 2.78
Zn  0.1558  0.6510  0.6510  8 Zn 2.62-2.77, 1 Al 2.87
Zn  0.6510  0.1558  0.6510  8 Zn 2.62-2.77, 1 Al 2.87
Zn  0.0000  0.3025  0.6971  8 Zn 2.60-2.77
Zn  0.3025  0.6971  0.0000  8 Zn 2.60-2.77
Zn  0.0000  0.6971  0.3025  8 Zn 2.60-2.77
Zn  0.3492  0.3492  0.8428  9 Zn 2.62-2.85
Al  0.9014  0.9014  0.9014  7 Zn 2.66-2.87

(9)
Entry from Alexandria via LeMat-Bulk: an optimized crystal structure of NaAl2Zn (PBE).

Cell: 4.3344 5.4938 7.0304 Å, 90.00 90.00 113.02°
With the nearest neighbours (Å) after each atom.
Fractional coordinates of all 8 atoms:
Zn  0.7865  0.5716  0.7500  6 Al 2.63-2.68, 1 Na 2.89
Al  0.3641  0.7284  0.5563  3 Zn 2.63-2.68, 2 Al 2.72-2.86
Al  0.6359  0.2716  0.0563  3 Zn 2.63-2.68, 2 Al 2.72-2.86
Na  0.0717  0.1423  0.7500  3 Zn 2.89-3.07, 4 Al 3.12
Zn  0.2135  0.4284  0.2500  6 Al 2.63-2.68, 1 Na 2.89
Al  0.6359  0.2716  0.4437  3 Zn 2.63-2.68, 2 Al 2.72-2.86
Na  0.9283  0.8577  0.2500  3 Zn 2.89-3.07, 4 Al 3.12
Al  0.3641  0.7284  0.9437  3 Zn 2.63-2.68, 2 Al 2.72-2.86

(10)
Entry from Alexandria via LeMat-Bulk: an optimized crystal structure of NaAl2Zn5 (PBE).

Cell: 3.9004 6.6584 6.6584 Å, 65.17 72.97 72.97°
With the nearest neighbours (Å) after each atom.
Fractional coordinates of all 8 atoms:
Zn  0.0000  0.5000  0.5000  2 Al 2.64, 8 Zn 2.73
Zn  0.6266  0.5640  0.1827  3 Al 2.57-2.72, 4 Zn 2.66-2.73
Al  0.2509  0.2491  0.2491  7 Zn 2.57-2.72
Na  0.0000  0.0000  0.0000  10 Zn 3.24-3.59, 4 Al 3.27
Zn  0.3734  0.8173  0.4360  3 Al 2.57-2.72, 4 Zn 2.66-2.73
Zn  0.6266  0.1827  0.5640  3 Al 2.57-2.72, 4 Zn 2.66-2.73
Zn  0.3734  0.4360  0.8173  3 Al 2.57-2.72, 4 Zn 2.66-2.73
Al  0.7491  0.7509  0.7509  7 Zn 2.57-2.72

(11)
Entry from Alexandria via LeMat-Bulk: an optimized crystal structure of NaAl3Zn2 (PBE).

Cell: 4.1322 8.7432 10.3781 Å, 107.17 90.00 103.67°
With the nearest neighbours (Å) after each atom.
Fractional coordinates of all 18 atoms:
Zn  0.3582  0.7164  0.5284  7 Al 2.51-2.73
Al  0.5000  0.0000  0.5000  2 Zn 2.51, 4 Al 2.77
Zn  0.6418  0.2836  0.4716  7 Al 2.51-2.73
Al  0.6845  0.3691  0.9778  4 Zn 2.60-2.63, 1 Al 2.85
Al  0.6216  0.2431  0.2027  4 Zn 2.64-2.72, 3 Al 2.85-2.90
Zn  0.1978  0.3956  0.1349  6 Al 2.58-2.64
Zn  0.8022  0.6044  0.8651  6 Al 2.58-2.64
Zn  0.4618  0.9236  0.2056  5 Al 2.63-2.92
Al  0.9597  0.9193  0.6468  4 Zn 2.67-2.73, 3 Al 2.76-2.77
Zn  0.5382  0.0764  0.7944  5 Al 2.63-2.92
Al  0.3155  0.6309  0.0222  4 Zn 2.60-2.63, 1 Al 2.85
Al  0.2082  0.4164  0.3879  4 Zn 2.52-2.63, 1 Al 2.76
Na  0.0000  0.0000  0.0000  6 Zn 3.18-3.22, 6 Al 3.21-3.52
Al  0.3784  0.7569  0.7973  4 Zn 2.64-2.72, 3 Al 2.85-2.90
Al  0.7918  0.5836  0.6121  4 Zn 2.52-2.63, 1 Al 2.76
Al  0.0403  0.0807  0.3532  4 Zn 2.67-2.73, 3 Al 2.76-2.77
Na  0.8422  0.6843  0.2918  6 Zn 3.16-3.24, 6 Al 3.23-3.53
Na  0.1578  0.3157  0.7082  6 Zn 3.16-3.24, 6 Al 3.23-3.53

(12)
Entry from Alexandria via LeMat-Bulk: an optimized crystal structure of NaAl2Zn4 (PBE).

Cell: 5.1848 5.4430 5.4430 Å, 77.33 62.62 62.62°
With the nearest neighbours (Å) after each atom.
Fractional coordinates of all 7 atoms:
Zn  0.6915  0.6141  0.0009  4 Zn 2.63-2.85, 4 Al 2.76-2.81
Zn  0.3085  0.3859  0.9991  4 Zn 2.63-2.85, 4 Al 2.76-2.81
Zn  0.6914  0.0009  0.6141  4 Zn 2.63-2.85, 4 Al 2.76-2.81
Na  0.0000  0.0000  0.0000  12 Zn 2.97-3.22
Al  0.7537  0.4963  0.4963  2 Al 2.59, 8 Zn 2.76-2.81
Zn  0.3086  0.9991  0.3859  4 Zn 2.63-2.85, 4 Al 2.76-2.81
Al  0.2464  0.5037  0.5037  2 Al 2.59, 8 Zn 2.76-2.81

Number 1: theoretical density 2.4 g/cm³, energy relative to the elements 0.376 eV per atom. Number 2: theoretical density 4.4 g/cm³, energy relative to the elements 0.068 eV per atom. Number 3: theoretical density 4.6 g/cm³, energy relative to the elements 0.040 eV per atom. Number 4: theoretical density 1.6 g/cm³, energy relative to the elements 0.457 eV per atom. Number 5: theoretical density 2.4 g/cm³, energy relative to the elements 0.327 eV per atom. Number 6: theoretical density 2.0 g/cm³, energy relative to the elements 1.140 eV per atom. Number 7: theoretical density 3.0 g/cm³, energy relative to the elements 0.213 eV per atom. Number 8: theoretical density 5.9 g/cm³, energy relative to the elements -0.030 eV per atom. Number 9: theoretical density 3.1 g/cm³, energy relative to the elements 0.006 eV per atom. Number 10: theoretical density 4.6 g/cm³, energy relative to the elements 0.031 eV per atom. Number 11: theoretical density 3.4 g/cm³, energy relative to the elements 0.016 eV per atom. Number 12: theoretical density 4.6 g/cm³, energy relative to the elements -0.010 eV per atom.